The following is a DFT calculation (GGA-PBE) of a geometry-optimized PrSmCdAg structure.

Properties
Energy above the lowest structure with this stoichiometry   0.000 eV per atom
Formation enthalpy at 0 K   -0.29 eV/atom
Total magnetization   0.4 μB per formula unit
Calculated volume   27.4 A^3/atom

```
PrSmCdAg
1.0
-1.8800 2.2236 -2.4435
1.4656 -1.9583 -2.9097
-5.9008 -4.7453 0.2216
Pr Sm Cd Ag
1 1 1 1
Cartesian
-0.8703 -0.4006 -2.6517 Pr
-3.7373 -2.7062 -2.5440 Sm
-5.0027 -4.0231 0.1879 Cd
-2.1805 -1.7535 0.0819 Ag
```